No. 1
Entry from the Alexandria database: an optimized crystal structure of NdMgSn2Pd4 (PBE).

Output
- energy of formation from the pure elements (meV per atom) = -733

Cell lengths 4.6071, 4.6071, 25.3245 Å; angles 90.00, 90.00, 120.00 degrees
Space group R-3m (No. 166, hexagonal axes)
Unique sites:
1 Nd 0.0000 0.0000 0.0000
2 Mg 0.0000 0.0000 0.5000
3 Sn 0.0000 0.0000 0.2446
4 Pd 0.0000 0.0000 0.1318
5 Pd 0.0000 0.0000 0.3965

No. 2
Entry from the Alexandria database: an optimized crystal structure of TbNdMgPd (PBE).

Output
- energy of formation from the pure elements (meV per atom) = -353

Cell lengths 7.396, 7.396, 7.396 Å; angles 90.00, 90.00, 90.00 degrees
Space group F-43m (No. 216)
Unique sites:
1 Tb 0.000 0.000 0.000
2 Nd 0.000 0.000 0.500
3 Mg 0.250 0.250 0.750
4 Pd 0.250 0.250 0.250

No. 3
Entry from the Alexandria database: an optimized crystal structure of NdMgTlPd (PBE).

Output
- energy of formation from the pure elements (meV per atom) = -469

Cell lengths 7.196, 7.196, 7.196 Å; angles 90.00, 90.00, 90.00 degrees
Space group F-43m (No. 216)
Unique sites:
1 Nd 0.000 0.000 0.000
2 Mg 0.000 0.000 0.500
3 Tl 0.250 0.250 0.250
4 Pd 0.250 0.250 0.750

No. 4
Entry from the Alexandria database: an optimized crystal structure of NdTmMg2Pd4 (PBE).

Output
- energy of formation from the pure elements (meV per atom) = -770

Cell lengths 4.6560, 4.6560, 25.4477 Å; angles 90.00, 90.00, 120.00 degrees
Space group R-3m (No. 166, hexagonal axes)
Unique sites:
1 Nd 0.0000 0.0000 0.0000
2 Tm 0.0000 0.0000 0.5000
3 Mg 0.0000 0.0000 0.2447
4 Pd 0.0000 0.0000 0.1232
5 Pd 0.0000 0.0000 0.3905

No. 5
Entry from the Alexandria database: an optimized crystal structure of NdTm2MgPd4 (PBE).

Output
- energy of formation from the pure elements (meV per atom) = -819

Cell lengths 4.8250, 4.8250, 24.5416 Å; angles 90.00, 90.00, 120.00 degrees
Space group R-3m (No. 166, hexagonal axes)
Unique sites:
1 Nd 0.0000 0.0000 0.0000
2 Tm 0.0000 0.0000 0.2428
3 Mg 0.0000 0.0000 0.5000
4 Pd 0.0000 0.0000 0.1263
5 Pd 0.0000 0.0000 0.3865

No. 6
Entry from the Alexandria database: an optimized crystal structure of Nd2MgZn4Pd3 (PBE).

Output
- energy of formation from the pure elements (meV per atom) = -553

Cell lengths 3.990, 3.990, 12.357 Å; angles 90.00, 90.00, 90.00 degrees
Space group P-4m2 (No. 115)
Unique sites:
1 Nd 0.000 0.500 0.235
2 Mg 0.000 0.000 0.500
3 Zn 0.000 0.000 0.000
4 Zn 0.000 0.500 0.646
5 Zn 0.500 0.500 0.000
6 Pd 0.000 0.500 0.858
7 Pd 0.500 0.500 0.500

> Among the records above, which one has the highest energy of formation from the pure elements?

TbNdMgPd